{
  "formula": "Li2TlHg2",
  "functional": "PBEsol",
  "state": "relaxed",
  "m_tot_mub_per_cell": 0.00,
  "spacegroup": "P4/mbm, No. 127",
  "delta_e_f_mev_per_atom": -309,
  "cell": [[3.2422, 0.0000, 0.0000], [0.0000, 7.8903, 0.0000], [0.0000, 0.0000, 7.8903]],
  "species": ["Li", "Li", "Li", "Li", "Hg", "Hg", "Hg", "Hg", "Tl", "Tl"],
  "fractional_positions": [[0.5000, 0.6638, 0.8362], [0.5000, 0.8362, 0.3362], [0.5000, 0.3362, 0.1638], [0.5000, 0.1638, 0.6638], [0.0000, 0.6332, 0.1332], [0.0000, 0.8668, 0.6332], [0.0000, 0.1332, 0.3668], [0.0000, 0.3668, 0.8668], [0.0000, 0.0000, 0.0000], [0.0000, 0.5000, 0.5000]]
}